! PmPr3NdSm, optimized geometry, DFT PBE-GGA; values from VASP
&SYSTEM
  ibrav = 0, nat = 12, ntyp = 4
/
ATOMIC_SPECIES
Pm 145.00 Pm.upf
Pr 140.91 Pr.upf
Sm 150.36 Sm.upf
Nd 144.24 Nd.upf
ATOMIC_POSITIONS angstrom
Pm 0.000 6.131 7.890
Pr 2.946 4.892 6.094
Pr 2.946 6.666 2.888
Pr 0.000 4.212 2.484
Pr 2.946 -0.507 5.192
Sm 0.000 6.665 4.825
Sm 2.946 2.439 3.753
Nd 2.946 8.224 6.658
Pr 0.000 9.611 3.386
Pr 0.000 2.438 5.690
Nd 0.000 0.880 1.920
Pm 2.946 2.973 0.688
CELL_PARAMETERS angstrom
5.892 0.000 0.000
-2.946 10.274 1.740
0.000 -1.170 6.838
! - Space group: No. 12
! - Energy of formation: 0.15 eV/atom